First-principles (GGA-PBE) data for a relaxed Ac3Pm3SmS8 crystal, as listed in Alexandria.

Results
E_form (uncorrected) ... -2.043 eV per atom
Total energy ... -6.33 eV/atom
N(E_F) ... 0.50 states/eV per atom
Space group ... R-3m, No. 166

Cell lengths 8.214, 8.215, 8.390 Å; angles 119.31, 90.00, 120.00 degrees
Sites, in units of the cell vectors:
Ac (0.000, 0.000, 0.000)
Ac (0.000, 0.500, 0.000)
Ac (0.500, 0.500, 0.000)
Pm (0.500, 0.000, 0.500)
Pm (0.500, 0.500, 0.500)
Pm (0.000, 0.500, 0.500)
Sm (0.000, 0.000, 0.500)
S (0.256, 0.512, 0.268)
S (0.744, 0.488, 0.732)
S (0.757, 0.514, 0.268)
S (0.243, 0.486, 0.732)
S (0.757, 0.012, 0.268)
S (0.243, 0.988, 0.732)
S (0.255, 0.012, 0.268)
S (0.745, 0.988, 0.732)